ReBr2 | PBE | relaxed

magnetization	0.00	Bohr magnetons per cell
theoretical density	8569	kg/m3
V	22.4	Å³ per atom
relative energy among the computed polymorphs	2.89	eV/f.u.
crystal system	tetragonal

a = 3.2018 Å, b = 3.2018 Å, c = 13.0817 Å
α = 90.00°, β = 90.00°, γ = 90.00°
Space group I4/mmm (No. 139)
One atom of each set of equivalent atoms:
Re  0.0000  0.0000  0.0000 (multiplicity 2)
Br  0.0000  0.0000  0.3810 (multiplicity 4)

=====

NaCa2Al2 | PBE | relaxed

energy relative to the elements	9.91	kJ per mole of atoms
magnetization	0.00	Bohr magnetons per cell
theoretical density	1639	kg/m3
V	31.8	Å³ per atom
relative energy among the computed polymorphs	0.52	eV/f.u.
crystal system	tetragonal

a = 5.9469 Å, b = 5.9469 Å, c = 9.0014 Å
α = 90.00°, β = 90.00°, γ = 90.00°
Space group I4/mmm (No. 139)
One atom of each set of equivalent atoms:
Na  0.0000  0.0000  0.0000 (multiplicity 2)
Ca  0.0000  0.5000  0.2500 (multiplicity 4)
Al  0.0000  0.0000  0.3614 (multiplicity 4)

=====

SrPuIn2 | PBE | relaxed

energy relative to the elements	-20.27	kJ per mole of atoms
magnetization	5.76	Bohr magnetons per cell
theoretical density	7703	kg/m3
V	30.2	Å³ per atom
relative energy among the computed polymorphs	0.07	eV/f.u.
crystal system	tetragonal

a = 5.6156 Å, b = 5.6156 Å, c = 3.8365 Å
α = 90.00°, β = 90.00°, γ = 90.00°
Space group P4/mmm (No. 123)
One atom of each set of equivalent atoms:
Sr  0.0000  0.0000  0.0000 (multiplicity 1)
Pu  0.5000  0.5000  0.0000 (multiplicity 1)
In  0.0000  0.5000  0.5000 (multiplicity 2)

=====

no.,calculated total energy (eV per cell)
1,-25.79
2,-24.59
3,-22.33